1.
Computed, not measured: a relaxed HfIn crystal at the PBE-GGA level of DFT.

```
HfIn
1.0
-4.5235 4.5235 4.5235
4.5235 -4.5235 4.5235
4.5235 4.5235 -4.5235
Hf In
4 4
Cartesian
1.0332 1.0332 -1.0332 Hf
1.0332 -1.0332 1.0332 Hf
-1.0332 1.0332 1.0332 Hf
3.4903 3.4903 3.4903 Hf
2.7413 2.7413 -2.7413 In
2.7413 -2.7413 2.7413 In
1.7821 1.7821 1.7821 In
-2.7413 2.7413 2.7413 In
```


2.
Computed, not measured: a relaxed Hf5In3 crystal at the PBE-GGA level of DFT.

```
Hf5In3
1.0
4.3886 -4.5200 0.0000
4.3886 4.5200 0.0000
0.0000 0.0000 4.4124
Hf In
5 3
Cartesian
0.0000 0.0000 0.0000 Hf
2.1943 2.2600 0.0000 Hf
4.3886 2.3856 2.2062 Hf
2.1943 -2.2600 0.0000 Hf
4.3886 -2.3856 2.2062 Hf
2.2140 0.0000 2.2062 In
4.3886 0.0000 0.0000 In
6.5632 0.0000 2.2062 In
```


3.
Computed, not measured: a relaxed HfIn2 crystal at the PBE-GGA level of DFT.

```
HfIn2
1.0
4.4293 0.0000 0.0000
0.0000 4.1721 0.0000
-2.2033 0.0000 7.3380
Hf In
2 4
Cartesian
-0.0003 1.0430 1.2097 Hf
2.2264 3.1291 6.1283 Hf
0.0031 3.1291 3.6675 In
0.0123 1.0430 6.2591 In
2.2137 3.1291 1.0789 In
2.2229 1.0430 3.6705 In
```


4.
Computed, not measured: a relaxed Hf4In crystal at the PBE-GGA level of DFT.

```
Hf4In
1.0
5.1875 0.0000 0.0000
0.0000 5.1875 0.0000
0.0000 0.0000 5.1875
Hf In
4 1
Cartesian
0.0000 0.0000 0.0000 Hf
0.0000 2.5938 2.5938 Hf
2.5938 0.0000 2.5938 Hf
2.5938 2.5938 0.0000 Hf
2.5938 2.5938 2.5938 In
```


5.
Computed, not measured: a relaxed Hf5In3 crystal at the PBE-GGA level of DFT.

```
Hf5In3
1.0
3.1167 0.0000 0.0000
0.0000 3.1167 0.0000
0.0000 0.0000 18.2309
Hf In
5 3
Cartesian
0.0000 0.0000 0.0000 Hf
0.0000 0.0000 4.5672 Hf
0.0000 0.0000 13.6637 Hf
1.5584 1.5584 6.7312 Hf
1.5584 1.5584 11.4998 Hf
0.0000 0.0000 9.1155 In
1.5584 1.5584 2.2229 In
1.5584 1.5584 16.0080 In
```


6.
Computed, not measured: a relaxed HfIn crystal at the PBE-GGA level of DFT.

```
HfIn
1.0
5.0132 0.0000 0.0000
-2.5066 4.3415 0.0000
0.0000 0.0000 5.7046
Hf In
2 2
Cartesian
0.0000 2.8944 1.4262 Hf
2.5066 1.4472 4.2785 Hf
0.0000 2.8944 4.2785 In
2.5066 1.4472 1.4262 In
```


no.,energy of formation (eV/atom),volume (A^3/atom)
1,0.99,46.28
2,-0.12,21.88
3,-0.08,22.60
4,1.28,27.92
5,-0.16,22.14
6,0.83,31.04